DFT (meta-GGA SCAN) results for a PBEsol-optimized structure of TiHAu2Br.

Size of the total moment in μB/f.u.: 1.81
Energy in eV per formula unit: -174.5
Crystal system: tetragonal

Lattice parameters (Å, degrees): 4.8854 5.0094 5.0094 90.00 90.00 90.00
Closest atoms and distances in Å follow each position.
Sites, in units of the cell vectors:
H (0.5000, 0.5000, 0.5000)  8 Au 3.50, 4 Br 3.54
Au (0.0000, 0.0000, 0.5000)  2 Ti 2.50
Au (0.0000, 0.5000, 0.0000)  2 Ti 2.50
Br (0.5000, 0.0000, 0.0000)  2 Ti 2.44
Ti (0.0000, 0.0000, 0.0000)  2 Br 2.44, 4 Au 2.50

---

DFT (meta-GGA SCAN) results for a PBEsol-optimized structure of AlRu4.

Size of the total moment in μB/f.u.: 0.00
Crystal system: tetragonal
E_form in meV per atom: -130.3

Lattice parameters (Å, degrees): 3.7559 4.6318 4.6318 80.54 66.08 66.08
Closest atoms and distances in Å follow each position.
Sites, in units of the cell vectors:
Al (0.0000, 0.0000, 0.0000)  12 Ru 2.66-2.69
Ru (0.6002, 0.2053, 0.5944)  9 Ru 2.62-2.72, 3 Al 2.66-2.69
Ru (0.8054, 0.5944, 0.7947)  9 Ru 2.62-2.72, 3 Al 2.66-2.69
Ru (0.3998, 0.7947, 0.4056)  9 Ru 2.62-2.72, 3 Al 2.66-2.69
Ru (0.1946, 0.4056, 0.2053)  9 Ru 2.62-2.72, 3 Al 2.66-2.69

---

DFT (meta-GGA SCAN) results for a PBEsol-optimized structure of Cs2PtCl4.

Size of the total moment in μB/f.u.: 0.15
Energy in eV per formula unit: -188.5
Crystal system: tetragonal

Lattice parameters (Å, degrees): 4.6798 7.2886 7.2886 90.00 90.00 90.00
Closest atoms and distances in Å follow each position.
Sites, in units of the cell vectors:
Cs (0.5000, 0.0000, 0.5000)  8 Cl 3.49
Cs (0.5000, 0.5000, 0.0000)  8 Cl 3.49
Pt (0.0000, 0.0000, 0.0000)  4 Cl 2.30
Cl (0.0000, 0.2227, 0.7773)  1 Pt 2.30
Cl (0.0000, 0.2227, 0.2227)  1 Pt 2.30
Cl (0.0000, 0.7773, 0.7773)  1 Pt 2.30
Cl (0.0000, 0.7773, 0.2227)  1 Pt 2.30

---

DFT (meta-GGA SCAN) results for a PBEsol-optimized structure of CaSiAs2.

Size of the total moment in μB/f.u.: 0.00
Energy in eV per formula unit: -59.6
Crystal system: cubic

Lattice parameters (Å, degrees): 4.8649 4.8649 4.8649 60.00 60.00 60.00
Closest atoms and distances in Å follow each position.
Sites, in units of the cell vectors:
As (0.0000, 0.0000, 0.0000)  4 As 2.98, 4 Si 2.98
As (0.2500, 0.2500, 0.2500)  4 As 2.98, 4 Ca 2.98
Si (0.7500, 0.7500, 0.7500)  4 As 2.98, 4 Ca 2.98
Ca (0.5000, 0.5000, 0.5000)  4 Si 2.98, 4 As 2.98

---

DFT (meta-GGA SCAN) results for a PBEsol-optimized structure of LiZn3Ni.

Size of the total moment in μB/f.u.: 0.74
Crystal system: cubic
E_form in meV per atom: 733.4

Lattice parameters (Å, degrees): 4.1382 4.1382 4.1382 90.00 90.00 90.00
Closest atoms and distances in Å follow each position.
Sites, in units of the cell vectors:
Ni (0.5000, 0.5000, 0.5000)  12 Zn 2.93
Zn (0.0000, 0.5000, 0.0000)  2 Li 2.07
Zn (0.0000, 0.0000, 0.5000)  2 Li 2.07
Zn (0.5000, 0.0000, 0.0000)  2 Li 2.07
Li (0.0000, 0.0000, 0.0000)  6 Zn 2.07

---

DFT (meta-GGA SCAN) results for a PBEsol-optimized structure of Be3Tc4.

Size of the total moment in μB/f.u.: 0.00
Crystal system: hexagonal
E_form in meV per atom: -327.4

Lattice parameters (Å, degrees): 4.4471 4.4471 4.6476 90.00 90.00 120.00
Closest atoms and distances in Å follow each position.
Sites, in units of the cell vectors:
Be (0.0000, 0.5000, 0.0000)  4 Be 2.22
Be (0.5000, 0.0000, 0.0000)  4 Be 2.22
Be (0.5000, 0.5000, 0.0000)  4 Be 2.22
Tc (0.0000, 0.0000, 0.7537)  2 Tc 2.29-2.36, 6 Be 2.50
Tc (0.0000, 0.0000, 0.2463)  2 Tc 2.29-2.36, 6 Be 2.50
Tc (0.3333, 0.6667, 0.5000)  9 Tc 2.57-2.83, 6 Be 2.65
Tc (0.6667, 0.3333, 0.5000)  9 Tc 2.57-2.83, 6 Be 2.65

---

DFT (meta-GGA SCAN) results for a PBEsol-optimized structure of Zr2MnMo.

Size of the total moment in μB/f.u.: 2.21
Crystal system: monoclinic
Distance to the lowest polymorph of the same formula in eV/atom: 0.1722
E_form in meV per atom: 197.5

Lattice parameters (Å, degrees): 2.9357 5.1539 5.1539 111.93 102.15 102.15
Closest atoms and distances in Å follow each position.
Sites, in units of the cell vectors:
Mn (0.5000, 0.0000, 0.0000)  4 Zr 2.68, 2 Mo 2.88, 2 Mn 2.94
Mo (0.5000, 0.5000, 0.5000)  4 Zr 2.68, 2 Mn 2.88, 2 Mo 2.94
Zr (0.0000, 0.5000, 0.0000)  2 Mo 2.68, 2 Mn 2.68, 4 Zr 2.88-2.94
Zr (0.0000, 0.0000, 0.5000)  2 Mn 2.68, 2 Mo 2.68, 4 Zr 2.88-2.94

---

DFT (meta-GGA SCAN) results for a PBEsol-optimized structure of Y3ScAs.

Size of the total moment in μB/f.u.: 0.00
Crystal system: cubic
Distance to the lowest polymorph of the same formula in eV/atom: 1.0762
E_form in meV per atom: 691.2

Lattice parameters (Å, degrees): 5.2334 5.2334 5.2334 90.00 90.00 90.00
Closest atoms and distances in Å follow each position.
Sites, in units of the cell vectors:
Y (0.0000, 0.5000, 0.0000)  2 Sc 2.62
Y (0.0000, 0.0000, 0.5000)  2 Sc 2.62
Y (0.5000, 0.0000, 0.0000)  2 Sc 2.62
Sc (0.0000, 0.0000, 0.0000)  6 Y 2.62
As (0.5000, 0.5000, 0.5000)  12 Y 3.70

---

DFT (meta-GGA SCAN) results for a PBEsol-optimized structure of HgSbIr2.

Size of the total moment in μB/f.u.: 0.00
Crystal system: tetragonal
Distance to the lowest polymorph of the same formula in eV/atom: 0.0000

Lattice parameters (Å, degrees): 3.0514 3.0514 7.3457 90.00 90.00 90.00
Closest atoms and distances in Å follow each position.
Sites, in units of the cell vectors:
Hg (0.5000, 0.5000, 0.5000)  8 Ir 2.94, 4 Hg 3.05
Ir (0.0000, 0.0000, 0.7710)  4 Sb 2.74, 4 Hg 2.94, 4 Ir 3.05
Ir (0.0000, 0.0000, 0.2290)  4 Sb 2.74, 4 Hg 2.94, 4 Ir 3.05
Sb (0.5000, 0.5000, 0.0000)  8 Ir 2.74, 4 Sb 3.05

---

DFT (meta-GGA SCAN) results for a PBEsol-optimized structure of BeZn2As.

Size of the total moment in μB/f.u.: 0.00
Crystal system: orthorhombic
Distance to the lowest polymorph of the same formula in eV/atom: 0.0796
E_form in meV per atom: 281.6

Lattice parameters (Å, degrees): 3.5878 3.5878 4.6255 90.00 90.00 91.73
Closest atoms and distances in Å follow each position.
Sites, in units of the cell vectors:
Be (0.0000, 0.0000, 0.5000)  4 As 2.50-2.57, 4 Zn 2.61
As (0.5000, 0.5000, 0.5000)  4 Be 2.50-2.57, 4 Zn 2.65
Zn (0.7580, 0.7580, 0.0000)  4 Zn 2.42-2.58, 2 Be 2.61, 2 As 2.65
Zn (0.2420, 0.2420, 0.0000)  4 Zn 2.42-2.58, 2 Be 2.61, 2 As 2.65

---

DFT (meta-GGA SCAN) results for a PBEsol-optimized structure of LiCdPb2.

Size of the total moment in μB/f.u.: 0.00
Crystal system: orthorhombic
E_form in meV per atom: -122.6

Lattice parameters (Å, degrees): 3.3731 4.4806 6.5503 90.00 90.00 90.00
Closest atoms and distances in Å follow each position.
Sites, in units of the cell vectors:
Pb (0.0000, 0.0000, 0.9807)  1 Cd 3.05, 4 Li 3.22, 6 Pb 3.36-3.37
Pb (0.5000, 0.5000, 0.2640)  2 Li 3.11-3.44, 4 Cd 3.25, 6 Pb 3.36-3.37
Cd (0.0000, 0.0000, 0.5158)  5 Pb 3.05-3.25, 4 Li 3.16, 2 Cd 3.37
Li (0.5000, 0.5000, 0.7395)  6 Pb 3.11-3.44, 4 Cd 3.16, 2 Li 3.37

---

DFT (meta-GGA SCAN) results for a PBEsol-optimized structure of LiSi2BMo.

Size of the total moment in μB/f.u.: 0.00
Energy in eV per formula unit: -57.5
Crystal system: tetragonal

Lattice parameters (Å, degrees): 3.5353 4.1748 4.1748 90.00 90.00 90.00
Closest atoms and distances in Å follow each position.
Sites, in units of the cell vectors:
Mo (0.5000, 0.5000, 0.5000)  8 Si 2.74, 4 B 2.95
B (0.5000, 0.0000, 0.0000)  2 Li 1.77
Si (0.0000, 0.0000, 0.5000)  2 Li 2.09
Si (0.0000, 0.5000, 0.0000)  2 Li 2.09
Li (0.0000, 0.0000, 0.0000)  2 B 1.77

---

What is the size of the total moment in the sixth record? 0.00 μB/f.u.

---

What did the sixth record say?
DFT (meta-GGA SCAN) results for a PBEsol-optimized structure of Be3Tc4.

Size of the total moment in μB/f.u.: 0.00
Crystal system: hexagonal
E_form in meV per atom: -327.4

Lattice parameters (Å, degrees): 4.4471 4.4471 4.6476 90.00 90.00 120.00
Closest atoms and distances in Å follow each position.
Sites, in units of the cell vectors:
Be (0.0000, 0.5000, 0.0000)  4 Be 2.22
Be (0.5000, 0.0000, 0.0000)  4 Be 2.22
Be (0.5000, 0.5000, 0.0000)  4 Be 2.22
Tc (0.0000, 0.0000, 0.7537)  2 Tc 2.29-2.36, 6 Be 2.50
Tc (0.0000, 0.0000, 0.2463)  2 Tc 2.29-2.36, 6 Be 2.50
Tc (0.3333, 0.6667, 0.5000)  9 Tc 2.57-2.83, 6 Be 2.65
Tc (0.6667, 0.3333, 0.5000)  9 Tc 2.57-2.83, 6 Be 2.65

---

Which value of size of the total moment does entry 6 give? 0.00 μB/f.u.

---

Which value of size of the total moment does entry 5 give? 0.74 μB/f.u.